SrTcRh3: optimized geometry, GGA-PBE.

Properties
- SG: Pm-3m (221)
- E above lowest polymorph: 0.000 eV per atom
- Formation enthalpy at 0 K: 0.423 eV/atom
- Theoretical density: 7.58 Mg/m³

a = 4.7655 Å, b = 4.7655 Å, c = 4.7655 Å
α = 90.00°, β = 90.00°, γ = 90.00°
Closest atoms and distances in Å follow each position.
Atoms (fractional coordinates):
Sr1 0.0000 0.0000 0.0000  12 Rh 3.37
Tc1 0.5000 0.5000 0.5000  6 Rh 2.38
Rh1 0.0000 0.5000 0.5000  2 Tc 2.38
Rh2 0.5000 0.0000 0.5000  2 Tc 2.38
Rh3 0.5000 0.5000 0.0000  2 Tc 2.38

---

Rb3PaTe3: optimized geometry, GGA-PBE.

Properties
- SG: C2/m (12)
- Formation energy from raw total energies: -0.891 eV per atom
- Theoretical density: 4.29 Mg/m³

a = 8.9324 Å, b = 8.9324 Å, c = 9.7124 Å
α = 100.34°, β = 100.34°, γ = 113.01°
Closest atoms and distances in Å follow each position.
Atoms (fractional coordinates):
Rb1 0.1682 0.8318 0.0000  6 Te 3.64-4.01
Rb2 0.2983 0.7017 0.5000  4 Te 3.87-4.06
Rb3 0.3994 0.3994 0.1154  1 Rb 3.44, 5 Te 3.45-3.82
Rb4 0.6006 0.6006 0.8846  1 Rb 3.44, 5 Te 3.45-3.82
Rb5 0.7017 0.2983 0.5000  4 Te 3.87-4.06
Rb6 0.8318 0.1682 0.0000  6 Te 3.64-4.01
Pa1 0.1132 0.1132 0.6128  1 Pa 2.57
Pa2 0.8868 0.8868 0.3872  1 Pa 2.57
Te1 0.1286 0.4351 0.7821  1 Pa 2.98
Te2 0.1723 0.1723 0.3213  2 Pa 3.07-3.08
Te3 0.4351 0.1286 0.7821  1 Pa 2.98
Te4 0.5649 0.8714 0.2179  1 Pa 2.98
Te5 0.8277 0.8277 0.6787  2 Pa 3.07-3.08
Te6 0.8714 0.5649 0.2179  1 Pa 2.98

---

Nd3SmY2: optimized geometry, GGA-PBE.

Properties
- SG: Ibam (72)
- E above lowest polymorph: 0.551 eV per atom
- Formation enthalpy at 0 K: 0.565 eV/atom
- Theoretical density: 5.34 Mg/m³

a = 9.0031 Å, b = 9.0031 Å, c = 9.0031 Å
α = 102.46°, β = 94.20°, γ = 135.32°
Closest atoms and distances in Å follow each position.
Atoms (fractional coordinates):
Nd1 0.0145 0.7500 0.2645  3 Nd 3.24-3.42, 2 Sm 3.36, 4 Y 3.39-3.43
Nd2 0.2500 0.2500 0.0000  4 Nd 3.24-3.42
Nd3 0.4855 0.7500 0.7355  3 Nd 3.24-3.42, 2 Sm 3.36, 4 Y 3.39-3.43
Nd4 0.5145 0.2500 0.2645  3 Nd 3.24-3.42, 2 Sm 3.36, 4 Y 3.39-3.43
Nd5 0.7500 0.7500 0.0000  4 Nd 3.24-3.42
Nd6 0.9855 0.2500 0.7355  3 Nd 3.24-3.42, 2 Sm 3.36, 4 Y 3.39-3.43
Sm1 0.0000 0.5000 0.5000  4 Nd 3.36, 2 Sm 3.42, 2 Y 3.66
Sm2 0.5000 0.0000 0.5000  4 Nd 3.36, 2 Sm 3.42, 2 Y 3.66
Y1 0.1819 0.2432 0.4251  4 Nd 3.39-3.43, 1 Sm 3.66
Y2 0.3181 0.7432 0.0612  4 Nd 3.39-3.43, 1 Sm 3.66
Y3 0.6819 0.2568 0.9388  4 Nd 3.39-3.43, 1 Sm 3.66
Y4 0.8181 0.7568 0.5749  4 Nd 3.39-3.43, 1 Sm 3.66

---

Number 1: electronic total energy -31.99 eV for the cell shown. Number 2: electronic total energy -56.12 eV for the cell shown. Number 3: electronic total energy -57.12 eV for the cell shown.